Entry i
The following is a PBE-GGA calculation of PmPuO after structural relaxation, from the Alexandria database.

The structure belongs to space group R-3m (No. 166, hexagonal axes); the cell edges are 3.6313, 3.6313 and 35.5012 Å and the angles 90.00°, 90.00° and 120.00°. The asymmetric unit holds Pm at (0.0000, 0.0000, 0.2112), Pu at (0.0000, 0.0000, 0.0465) and O at (0.0000, 0.0000, 0.4124).

Its crystal system is trigonal. As for the density of states at the Fermi level: 37.2 states/eV per cell. As for the density: 10.0 g cm⁻³.


Entry ii
The following is a PBE-GGA calculation of PmPuO after structural relaxation, from the Alexandria database.

The structure belongs to space group P3m1 (No. 156); the cell edges are 3.5908, 3.5908 and 5.8894 Å and the angles 90.00°, 90.00° and 120.00°. The asymmetric unit holds Pm at (0.0000, 0.0000, 0.0000), Pu at (0.3333, 0.6667, 0.4712) and O at (0.6667, 0.3333, 0.2687).

Its crystal system is trigonal. As for the density of states at the Fermi level: 7.4 states/eV per cell. As for the density: 10.2 g cm⁻³.


Stability verdict: entry ii, ahead by 0.010 eV/atom


Entry i
The following is a PBE-GGA calculation of PmPuO2 after structural relaxation, from the Alexandria database.

The structure belongs to space group R-3m (No. 166, hexagonal axes); the cell edges are 3.6992, 3.6992 and 19.9523 Å and the angles 90.00°, 90.00° and 120.00°. The asymmetric unit holds Pm at (0.0000, 0.0000, 0.0000), Pu at (0.0000, 0.0000, 0.5000) and O at (0.0000, 0.0000, 0.1151).

Its crystal system is trigonal. As for the density of states at the Fermi level: 11.7 states/eV per cell. As for the density: 8.9 g cm⁻³.


Entry ii
The following is a PBE-GGA calculation of PmPuO2 after structural relaxation, from the Alexandria database.

The structure belongs to space group P4/mmm (No. 123); the cell edges are 3.0538, 3.0538 and 6.2310 Å and the angles 90.00°, 90.00° and 90.00°. The asymmetric unit holds Pm at (0.0000, 0.0000, 0.0000), Pu at (0.0000, 0.0000, 0.5000) and O at (0.5000, 0.5000, 0.2391).

Its crystal system is tetragonal. As for the density of states at the Fermi level: 5.8 states/eV per cell. As for the density: 12.0 g cm⁻³.


Stability verdict: entry i, ahead by 0.490 eV/atom